[1]
Sr2MgNb2 after structural relaxation. Source: the Alexandria database, functional GGA-PBE.

```
Sr2MgNb2
1.0
-1.8677 1.8677 11.5779
1.8677 -1.8677 11.5779
1.8677 1.8677 -11.5779
Sr Mg Nb
2 1 2
Cartesian
0.0000 0.0000 2.6621
0.0000 0.0000 20.4938
0.0000 0.0000 11.5779
1.8677 0.0000 5.7890
0.0000 1.8677 5.7890
```

Its space-group type is I4/mmm, No. 139. The calculation puts the offset from the most stable computed form at 0.0 meV/atom. As for the formation enthalpy at 0 K: 2.62 eV/f.u.

[2]
FeNi8Pt6 after structural relaxation. Source: the Alexandria database, functional GGA-PBE.

```
FeNi8Pt6
1.0
3.5733 2.0630 4.7181
-3.5733 2.0630 4.7181
0.0000 -4.1261 4.7181
Fe Ni Pt
1 8 6
Cartesian
0.0000 0.0000 0.0000
-2.3945 0.0782 6.7882
-1.2649 -2.0346 7.3661
0.0000 0.0000 2.8665
1.1295 -2.1127 6.7882
-1.1295 2.1127 7.3661
0.0000 0.0000 11.2877
1.2649 2.0346 6.7882
2.3945 -0.0782 7.3661
-0.5469 -1.5124 5.0076
-1.0363 1.2299 5.0076
-1.5833 -0.2826 9.1467
1.5832 0.2826 5.0076
1.0363 -1.2299 9.1467
0.5469 1.5124 9.1467
```

Its space-group type is R-3, No. 148. As for the formation enthalpy at 0 K: 1.89 eV/f.u.

[3]
Zn2PCl after structural relaxation. Source: the Alexandria database, functional GGA-PBE.

```
Zn2PCl
1.0
-1.3805 2.2767 5.7792
1.3805 -2.2767 5.7792
1.3805 2.2767 -5.7792
Zn P Cl
2 1 1
Cartesian
0.0000 0.0000 2.3995
0.0000 0.0000 9.1590
1.3805 0.0000 0.0000
0.0000 2.2767 0.0000
```

For the formation energy (no corrections), the calculation gives 0.31 eV per atom. Its space-group type is Immm, No. 71. The calculation puts the offset from the most stable computed form at 842.0 meV/atom.

[4]
Rb3HgAu4 after structural relaxation. Source: the Alexandria database, functional GGA-PBE.

```
Rb3HgAu4
1.0
-2.7071 2.7732 10.0797
2.7071 -2.7732 10.0797
2.7071 2.7732 -10.0797
Rb Hg Au
3 1 4
Cartesian
0.0000 0.0000 0.0000
2.7071 0.0000 4.1302
0.0000 2.7732 5.9495
0.0000 0.0000 10.0797
1.3430 2.7732 -2.5967
1.3641 0.0000 7.4830
1.3430 2.7732 2.5967
1.3641 0.0000 12.6765
```

Its space-group type is Immm, No. 71. As for the formation enthalpy at 0 K: -1.90 eV/f.u.

[5]
YMgH6Ir2 after structural relaxation. Source: the Alexandria database, functional GGA-PBE.

```
YMgH6Ir2
1.0
2.2876 1.3207 5.1780
-2.2876 1.3207 5.1780
0.0000 -2.6415 5.1780
Y Mg H Ir
1 1 6 2
Cartesian
0.0000 0.0000 0.0000
0.0000 0.0000 7.7671
-1.1570 -0.6680 6.0923
0.0000 -1.3359 9.4419
-1.1570 0.6680 9.4419
1.1570 -0.6680 6.0923
0.0000 1.3359 6.0923
1.1570 0.6680 9.4419
0.0000 0.0000 3.2533
0.0000 0.0000 12.2809
```

As for the total energy: -4.99 eV/atom. Its space-group type is R-3m, No. 166.

[6]
Ho4Te2AsPd after structural relaxation. Source: the Alexandria database, functional GGA-PBE.

```
Ho4Te2AsPd
1.0
7.3602 0.0000 0.0000
0.0000 4.1563 0.0000
-2.3960 0.0000 7.0112
Ho Te As Pd
4 2 1 1
Cartesian
1.2109 0.0000 1.5001
0.0566 2.0782 5.4638
4.9076 2.0782 1.5474
3.7533 0.0000 5.5111
-1.1980 0.0000 3.5056
2.4821 2.0782 3.5056
3.6801 0.0000 0.0000
0.0000 2.0782 0.0000
```

For the formation energy (no corrections), the calculation gives -1.23 eV per atom. Its space-group type is P2/m, No. 10.

[7]
AgN after structural relaxation. Source: the Alexandria database, functional GGA-PBE.

```
AgN
1.0
2.6133 -1.4685 0.0000
2.6133 1.4685 0.0000
-1.7680 0.0000 11.9725
Ag N
2 2
Cartesian
0.8536 0.0000 1.1919
2.6049 0.0000 10.7806
-0.8891 0.0000 6.5424
4.3477 0.0000 5.4301
```

For the formation energy (no corrections), the calculation gives 0.26 eV per atom. Its space-group type is C2/m, No. 12. The calculation puts the offset from the most stable computed form at 5.7 meV/atom.

[8]
YSiAg2 after structural relaxation. Source: the Alexandria database, functional GGA-PBE.

```
YSiAg2
1.0
4.1571 0.0000 0.0000
0.0000 4.1571 0.0000
0.0000 0.0000 4.6878
Y Si Ag
1 1 2
Cartesian
0.0000 0.0000 0.0000
2.0785 2.0785 0.0000
0.0000 2.0785 2.3439
2.0785 0.0000 2.3439
```

For the formation energy (no corrections), the calculation gives -0.20 eV per atom. Its space-group type is P4/mmm, No. 123.

[9]
CeSc2Pa after structural relaxation. Source: the Alexandria database, functional GGA-PBE.

```
CeSc2Pa
1.0
4.4971 0.0000 0.0000
0.0000 4.4971 0.0000
0.0000 0.0000 4.9485
Ce Sc Pa
1 2 1
Cartesian
0.0000 0.0000 0.0000
0.0000 2.2486 2.4742
2.2486 0.0000 2.4742
2.2486 2.2486 0.0000
```

Its space-group type is P4/mmm, No. 123. The calculation puts the offset from the most stable computed form at 78.3 meV/atom. As for the formation enthalpy at 0 K: 0.61 eV/f.u.

[10]
TmZnCu2 after structural relaxation. Source: the Alexandria database, functional GGA-PBE.

```
TmZnCu2
1.0
3.2230 0.0000 0.0000
0.0000 3.2230 0.0000
0.0000 0.0000 6.3624
Tm Zn Cu
1 1 2
Cartesian
0.0000 0.0000 0.0000
0.0000 0.0000 3.1812
1.6115 1.6115 1.8520
1.6115 1.6115 4.5104
```

Its space-group type is P4/mmm, No. 123. As for the formation enthalpy at 0 K: -0.57 eV/f.u.

[11]
Tb3PaOs8 after structural relaxation. Source: the Alexandria database, functional GGA-PBE.

```
Tb3PaOs8
1.0
2.6829 1.5490 8.7737
-2.6829 1.5490 8.7737
0.0000 -3.0980 8.7737
Tb Pa Os
3 1 8
Cartesian
0.0000 0.0000 0.0000
0.0000 0.0000 3.2642
0.0000 0.0000 13.1101
0.0000 0.0000 16.4320
0.0000 -1.5521 6.0088
-1.3442 0.7761 6.0088
-1.3392 -0.7732 10.3890
0.0000 0.0000 8.1984
1.3392 -0.7732 10.3890
0.0000 1.5464 10.3890
1.3442 0.7761 6.0088
0.0000 0.0000 21.3539
```

Its space-group type is R3m, No. 160. As for the formation enthalpy at 0 K: -3.23 eV/f.u.

[12]
SrPt2 after structural relaxation. Source: the Alexandria database, functional GGA-PBE.

```
SrPt2
1.0
7.0077 0.0000 0.0000
0.0000 7.0077 0.0000
0.0000 0.0000 7.0077
Sr Pt
4 8
Cartesian
0.0000 0.0000 0.0000
0.0000 3.5039 3.5039
3.5039 0.0000 3.5039
3.5039 3.5039 0.0000
0.7195 4.2234 6.2882
0.7195 6.2882 2.7844
2.7844 0.7195 6.2882
2.7844 2.7844 2.7844
4.2234 4.2234 4.2234
4.2234 6.2882 0.7195
6.2882 0.7195 4.2234
6.2882 2.7844 0.7195
```

Its space-group type is Pa-3, No. 205. As for the formation enthalpy at 0 K: 0.93 eV/f.u.

[13]
Ca2CeGeN4 after structural relaxation. Source: the Alexandria database, functional GGA-PBE.

```
Ca2CeGeN4
1.0
1.6884 -5.7248 0.0000
1.6884 5.7248 0.0000
0.0000 0.0000 12.0151
Ca Ce Ge N
4 2 2 8
Cartesian
1.6884 4.2126 6.4931
1.6884 4.2126 11.5296
1.6884 -4.2126 0.4855
1.6884 -4.2126 5.5220
1.6884 1.2123 9.0113
1.6884 -1.2123 3.0038
1.6884 1.9023 3.0038
1.6884 -1.9023 9.0113
1.6884 4.9705 9.0113
1.6884 3.1651 1.6512
1.6884 3.1651 4.3563
1.6884 0.0000 0.0000
1.6884 0.0000 6.0076
1.6884 -3.1651 7.6588
1.6884 -3.1651 10.3639
1.6884 -4.9705 3.0038
```

For the formation energy (no corrections), the calculation gives -0.68 eV per atom. Its space-group type is Cmcm, No. 63.

[14]
Nd2ScAl9 after structural relaxation. Source: the Alexandria database, functional GGA-PBE.

```
Nd2ScAl9
1.0
2.8009 1.6171 8.8300
-2.8009 1.6171 8.8300
0.0000 -3.2343 8.8300
Nd Sc Al
2 1 9
Cartesian
0.0000 0.0000 3.7568
0.0000 0.0000 22.7332
0.0000 0.0000 0.0000
-1.4281 -0.8245 11.0007
0.0000 0.0000 8.8722
0.0000 -1.6490 15.4893
-1.4281 0.8245 15.4893
0.0000 0.0000 13.2450
1.4281 -0.8245 11.0007
0.0000 1.6490 11.0007
0.0000 0.0000 17.6178
1.4281 0.8245 15.4893
```

Its space-group type is R-3m, No. 166. As for the formation enthalpy at 0 K: -3.44 eV/f.u.

[15]
HgSb2Pd2 after structural relaxation. Source: the Alexandria database, functional GGA-PBE.

```
HgSb2Pd2
1.0
7.8909 0.0000 0.0000
0.0000 7.8909 0.0000
0.0000 0.0000 3.3991
Hg Sb Pd
2 4 4
Cartesian
0.0000 0.0000 0.0000
3.9454 3.9454 0.0000
1.2582 2.6873 1.6996
2.6873 6.6327 1.6996
5.2036 1.2582 1.6996
6.6327 5.2036 1.6996
1.0298 4.9753 0.0000
2.9156 1.0298 0.0000
4.9753 6.8610 0.0000
6.8610 2.9156 0.0000
```

For the formation energy (no corrections), the calculation gives -0.17 eV per atom. Its space-group type is P4/mbm, No. 127. The calculation puts the offset from the most stable computed form at 0.0 meV/atom.

[16]
LaCo2CuCl after structural relaxation. Source: the Alexandria database, functional GGA-PBE.

```
LaCo2CuCl
1.0
4.7423 0.0000 0.0000
0.0000 4.7423 0.0000
0.0000 0.0000 5.4294
La Co Cu Cl
1 2 1 1
Cartesian
0.0000 0.0000 0.0000
0.0000 2.3712 0.0000
2.3712 0.0000 0.0000
2.3712 2.3712 2.7147
0.0000 0.0000 2.7147
```

For the formation energy (no corrections), the calculation gives 1.06 eV per atom. Its space-group type is P4/mmm, No. 123.

[17]
Pr6ZnCo2 after structural relaxation. Source: the Alexandria database, functional GGA-PBE.

```
Pr6ZnCo2
1.0
-4.8155 5.0152 5.1119
4.8155 -5.0152 5.1119
4.8155 5.0152 -5.1119
Pr Zn Co
12 2 4
Cartesian
4.8155 3.0529 -2.7011
2.7004 1.7967 0.0000
6.9307 1.7967 0.0000
1.7906 5.0152 -1.7916
3.0250 0.0000 3.3203
0.0000 1.9623 2.4109
4.8155 3.0529 2.7011
1.7906 5.0152 1.7916
3.0250 0.0000 6.9035
-2.1152 3.2185 5.1119
2.1152 3.2185 5.1119
0.0000 1.9623 7.8130
0.0000 0.0000 0.0000
0.0000 0.0000 5.1119
4.8155 0.0000 1.1400
0.0000 3.3280 0.0000
0.0000 6.7023 0.0000
0.0000 5.0152 3.9719
```

Its space-group type is Immm, No. 71. The calculation puts the offset from the most stable computed form at 0.0 meV/atom. As for the formation enthalpy at 0 K: -0.90 eV/f.u.

[18]
HfP2OsS after structural relaxation. Source: the Alexandria database, functional GGA-PBE.

```
HfP2OsS
1.0
4.4549 0.0000 0.0000
0.0000 4.4549 0.0000
0.0000 0.0000 4.9552
Hf P Os S
1 2 1 1
Cartesian
0.0000 0.0000 0.0000
0.0000 2.2275 2.4776
2.2275 0.0000 2.4776
2.2275 2.2275 2.4776
2.2275 2.2275 0.0000
```

For the formation energy (no corrections), the calculation gives 0.54 eV per atom. Its space-group type is P4/mmm, No. 123. The calculation puts the offset from the most stable computed form at 0.0 meV/atom.

[19]
ZrAu3C after structural relaxation. Source: the Alexandria database, functional GGA-PBE.

```
ZrAu3C
1.0
5.3088 0.0000 0.0000
0.0000 5.3088 0.0000
0.0000 0.0000 5.3088
Zr Au C
1 3 1
Cartesian
0.0000 0.0000 0.0000
0.0000 0.0000 2.6544
0.0000 2.6544 0.0000
2.6544 0.0000 0.0000
2.6544 2.6544 2.6544
```

Its space-group type is Pm-3m, No. 221. The calculation puts the offset from the most stable computed form at 1450.0 meV/atom. As for the formation enthalpy at 0 K: 10.30 eV/f.u.

[20]
LaZrBr2 after structural relaxation. Source: the Alexandria database, functional GGA-PBE.

```
LaZrBr2
1.0
3.5447 0.0000 0.0000
0.0000 5.2702 0.0000
-1.7625 0.0000 5.5694
La Zr Br
1 1 2
Cartesian
0.0000 0.0000 0.0000
1.7693 2.6351 1.7573
-0.0008 2.6351 4.2177
1.7718 0.0000 2.4646
```

For the formation energy (no corrections), the calculation gives -0.75 eV per atom. Its space-group type is Pm, No. 6. The calculation puts the offset from the most stable computed form at 196.7 meV/atom.

Asked for M_tot across the records above, the calculation gives 0.000 10.773 0.000 0.000 0.000 0.000 0.000 0.000 0.002 0.000 0.000 0.000 0.821 0.000 0.000 1.355 0.000 0.000 2.475 0.000 μB per cell in order.